P | VASP calculation (GGA-PBE) on a geometry-optimized CaAcAu4 structure.

Computed properties:
density of states at the Fermi level: 0.540 states/eV per atom
total moment: 0.00 Bohr magnetons per cell
V: 24.630 Å³ per atom

a = 4.758 Å, b = 7.378 Å, c = 8.419 Å
α = 90.00°, β = 90.00°, γ = 90.00°
Space group Imm2 (No. 44)
Unique sites:
Ca 0.000 0.000 0.000 x2
Ac 0.000 0.500 0.077 x2
Au 0.000 0.214 0.376 x4
Au 0.000 0.295 0.700 x4

Q | VASP calculation (GGA-PBE) on a geometry-optimized CaAcAu4 structure.

Computed properties:
density of states at the Fermi level: 0.363 states/eV per atom
total moment: 0.00 Bohr magnetons per cell
V: 26.326 Å³ per atom

a = 4.182 Å, b = 4.182 Å, c = 18.067 Å
α = 90.00°, β = 90.00°, γ = 90.00°
Space group I-4m2 (No. 119)
Unique sites:
Ca 0.000 0.000 0.000 x2
Ac 0.000 0.500 0.250 x2
Au 0.000 0.000 0.426 x4
Au 0.000 0.500 0.672 x4

Which one is most stable, and which one is least stable? P is the most stable of them, while Q is the least stable.

P | VASP calculation (GGA-PBE) on a geometry-optimized LiCaAcAu structure.

Computed properties:
density of states at the Fermi level: 0.711 states/eV per atom
total moment: 0.00 Bohr magnetons per cell
V: 28.183 Å³ per atom

a = 7.668 Å, b = 7.668 Å, c = 7.668 Å
α = 90.00°, β = 90.00°, γ = 90.00°
Space group F-43m (No. 216)
Unique sites:
Li 0.000 0.000 0.000 x4
Ca 0.250 0.250 0.750 x4
Ac 0.250 0.250 0.250 x4
Au 0.000 0.000 0.500 x4

Q | VASP calculation (GGA-PBE) on a geometry-optimized LiCaAcAu structure.

Computed properties:
density of states at the Fermi level: 0.792 states/eV per atom
total moment: 0.00 Bohr magnetons per cell
V: 30.018 Å³ per atom

a = 4.429 Å, b = 4.277 Å, c = 12.676 Å
α = 90.00°, β = 90.00°, γ = 90.00°
Space group Amm2 (No. 38)
Unique sites:
Li 0.000 0.000 0.000 x2
Ca 0.500 0.000 0.571 x2
Ac 0.000 0.000 0.289 x2
Au 0.500 0.000 0.875 x2

Which one is most stable, and which one is least stable? Q is the most stable of them, while P is the least stable.

P | VASP calculation (GGA-PBE) on a geometry-optimized CaAcRhAu structure.

Computed properties:
density of states at the Fermi level: 0.635 states/eV per atom
total moment: 0.00 Bohr magnetons per cell
V: 26.133 Å³ per atom

a = 4.355 Å, b = 4.108 Å, c = 11.686 Å
α = 90.00°, β = 90.00°, γ = 90.00°
Space group Amm2 (No. 38)
Unique sites:
Ca 0.000 0.000 0.000 x2
Ac 0.500 0.000 0.722 x2
Rh 0.000 0.000 0.275 x2
Au 0.500 0.000 0.442 x2

Q | VASP calculation (GGA-PBE) on a geometry-optimized CaAcRhAu structure.

Computed properties:
density of states at the Fermi level: 0.364 states/eV per atom
total moment: 0.00 Bohr magnetons per cell
V: 25.047 Å³ per atom

a = 7.373 Å, b = 7.373 Å, c = 7.373 Å
α = 90.00°, β = 90.00°, γ = 90.00°
Space group F-43m (No. 216)
Unique sites:
Ca 0.000 0.000 0.000 x4
Ac 0.000 0.000 0.500 x4
Rh 0.250 0.250 0.250 x4
Au 0.250 0.250 0.750 x4

Which one is most stable, and which one is least stable? P is the most stable of them, while Q is the least stable.

P | VASP calculation (GGA-PBE) on a geometry-optimized CaAcZnAu structure.

Computed properties:
density of states at the Fermi level: 0.957 states/eV per atom
total moment: 0.00 Bohr magnetons per cell
V: 27.498 Å³ per atom

a = 7.606 Å, b = 7.606 Å, c = 7.606 Å
α = 90.00°, β = 90.00°, γ = 90.00°
Space group F-43m (No. 216)
Unique sites:
Ca 0.000 0.000 0.000 x4
Ac 0.000 0.000 0.500 x4
Zn 0.250 0.250 0.750 x4
Au 0.250 0.250 0.250 x4

Q | VASP calculation (GGA-PBE) on a geometry-optimized CaAcZnAu structure.

Computed properties:
density of states at the Fermi level: 0.861 states/eV per atom
total moment: 0.00 Bohr magnetons per cell
V: 28.694 Å³ per atom

a = 4.682 Å, b = 4.185 Å, c = 11.715 Å
α = 90.00°, β = 90.00°, γ = 90.00°
Space group Amm2 (No. 38)
Unique sites:
Ca 0.000 0.000 0.000 x2
Ac 0.500 0.000 0.281 x2
Zn 0.500 0.000 0.563 x2
Au 0.000 0.000 0.704 x2

Which one is most stable, and which one is least stable? Q is the most stable of them, while P is the least stable.

P | VASP calculation (GGA-PBE) on a geometry-optimized AcCdAu4 structure.

Computed properties:
density of states at the Fermi level: 0.587 states/eV per atom
total moment: 0.00 Bohr magnetons per cell
V: 32.597 Å³ per atom

a = 5.011 Å, b = 5.011 Å, c = 7.789 Å
α = 90.00°, β = 90.00°, γ = 90.00°
Space group P4/mmm (No. 123)
Unique sites:
Ac 0.000 0.000 0.000 x1
Cd 0.500 0.500 0.500 x1
Au 0.000 0.500 0.500 x2
Au 0.500 0.500 0.165 x2

Q | VASP calculation (GGA-PBE) on a geometry-optimized AcCdAu4 structure.

Computed properties:
density of states at the Fermi level: 0.998 states/eV per atom
total moment: 0.00 Bohr magnetons per cell
V: 22.278 Å³ per atom

a = 8.116 Å, b = 8.116 Å, c = 8.116 Å
α = 90.00°, β = 90.00°, γ = 90.00°
Space group F-43m (No. 216)
Unique sites:
Ac 0.000 0.000 0.000 x4
Cd 0.250 0.250 0.250 x4
Au 0.124 0.124 0.624 x16

R | VASP calculation (GGA-PBE) on a geometry-optimized AcCdAu4 structure.

Computed properties:
density of states at the Fermi level: 0.324 states/eV per atom
total moment: 0.00 Bohr magnetons per cell
V: 24.467 Å³ per atom

a = 7.142 Å, b = 19.296 Å, c = 4.261 Å
α = 90.00°, β = 90.00°, γ = 90.00°
Space group Pbam (No. 55)
Unique sites:
Ac 0.226 0.165 0.000 x4
Cd 0.173 0.441 0.000 x4
Au 0.052 0.928 0.500 x4
Au 0.079 0.781 0.500 x4
Au 0.086 0.346 0.500 x4
Au 0.167 0.542 0.500 x4

Which one is most stable, and which one is least stable? Q is the most stable of them, while P is the least stable.

P | VASP calculation (GGA-PBE) on a geometry-optimized AcCd4Au structure.

Computed properties:
density of states at the Fermi level: 0.586 states/eV per atom
total moment: 0.00 Bohr magnetons per cell
V: 25.764 Å³ per atom

a = 4.587 Å, b = 17.279 Å, c = 7.801 Å
α = 90.00°, β = 90.00°, γ = 90.00°
Space group Cmcm (No. 63)
Unique sites:
Ac 0.000 0.126 0.250 x4
Cd 0.000 0.072 0.750 x4
Cd 0.000 0.325 0.062 x8
Cd 0.000 0.500 0.000 x4
Au 0.000 0.240 0.750 x4

Q | VASP calculation (GGA-PBE) on a geometry-optimized AcCd4Au structure.

Computed properties:
density of states at the Fermi level: 1.046 states/eV per atom
total moment: 0.00 Bohr magnetons per cell
V: 25.387 Å³ per atom

a = 8.478 Å, b = 8.478 Å, c = 8.478 Å
α = 90.00°, β = 90.00°, γ = 90.00°
Space group F-43m (No. 216)
Unique sites:
Ac 0.000 0.000 0.000 x4
Cd 0.124 0.124 0.376 x16
Au 0.250 0.250 0.750 x4

Which one is most stable, and which one is least stable? P is the most stable of them, while Q is the least stable.

P | VASP calculation (GGA-PBE) on a geometry-optimized AcCd3Au structure.

Computed properties:
density of states at the Fermi level: 0.514 states/eV per atom
total moment: 0.00 Bohr magnetons per cell
V: 26.014 Å³ per atom

a = 5.897 Å, b = 6.415 Å, c = 7.326 Å
α = 90.00°, β = 110.15°, γ = 90.00°
Space group P2_1/m (No. 11)
Unique sites:
Ac 0.228 0.250 0.159 x2
Cd 0.223 0.021 0.688 x4
Cd 0.271 0.750 0.383 x2
Au 0.345 0.750 0.028 x2

Q | VASP calculation (GGA-PBE) on a geometry-optimized AcCd3Au structure.

Computed properties:
density of states at the Fermi level: 0.376 states/eV per atom
total moment: 0.00 Bohr magnetons per cell
V: 26.469 Å³ per atom

a = 7.1478 Å, b = 7.1478 Å, c = 5.9821 Å
α = 90.00°, β = 90.00°, γ = 120.00°
Space group P6_3/mmc (No. 194)
Unique sites:
Ac 0.3333 0.6667 0.2500 x2
Cd 0.1925 0.3851 0.7500 x6
Au 0.0000 0.0000 0.0000 x2

Which one is most stable, and which one is least stable? P is the most stable of them, while Q is the least stable.

P | VASP calculation (GGA-PBE) on a geometry-optimized Ac2CdAu structure.

Computed properties:
density of states at the Fermi level: 0.656 states/eV per atom
total moment: 0.00 Bohr magnetons per cell
V: 31.808 Å³ per atom

a = 3.977 Å, b = 3.977 Å, c = 8.042 Å
α = 90.00°, β = 90.00°, γ = 90.00°
Space group P4/mmm (No. 123)
Unique sites:
Ac 0.000 0.000 0.235 x2
Cd 0.500 0.500 0.500 x1
Au 0.500 0.500 0.000 x1

Q | VASP calculation (GGA-PBE) on a geometry-optimized Ac2CdAu structure.

Computed properties:
density of states at the Fermi level: 1.343 states/eV per atom
total moment: 0.00 Bohr magnetons per cell
V: 36.066 Å³ per atom

a = 4.3184 Å, b = 4.3184 Å, c = 26.7973 Å
α = 90.00°, β = 90.00°, γ = 120.00°
Space group R-3m (No. 166, hexagonal axes)
Unique sites:
Ac 0.0000 0.0000 0.2406 x6
Cd 0.0000 0.0000 0.0000 x3
Au 0.0000 0.0000 0.5000 x3

R | VASP calculation (GGA-PBE) on a geometry-optimized Ac2CdAu structure.

Computed properties:
density of states at the Fermi level: 1.168 states/eV per atom
total moment: 0.00 Bohr magnetons per cell
V: 36.394 Å³ per atom

a = 4.4394 Å, b = 4.4394 Å, c = 25.5876 Å
α = 90.00°, β = 90.00°, γ = 120.00°
Space group R3m (No. 160, hexagonal axes)
Unique sites:
Ac 0.0000 0.0000 0.0000 x3
Ac 0.0000 0.0000 0.1856 x3
Cd 0.0000 0.0000 0.4262 x3
Au 0.0000 0.0000 0.5921 x3

Which one is most stable, and which one is least stable? P is the most stable of them, while Q is the least stable.

P | VASP calculation (GGA-PBE) on a geometry-optimized AcCd2Au3 structure.

Computed properties:
density of states at the Fermi level: 0.544 states/eV per atom
total moment: 0.00 Bohr magnetons per cell
V: 24.546 Å³ per atom

a = 10.250 Å, b = 10.106 Å, c = 5.687 Å
α = 90.00°, β = 90.00°, γ = 90.00°
Space group Cmcm (No. 63)
Unique sites:
Ac 0.000 0.240 0.250 x4
Cd 0.245 0.500 0.000 x8
Au 0.000 0.441 0.750 x4
Au 0.178 0.230 0.750 x8

Q | VASP calculation (GGA-PBE) on a geometry-optimized AcCd2Au3 structure.

Computed properties:
density of states at the Fermi level: 0.521 states/eV per atom
total moment: 0.00 Bohr magnetons per cell
V: 23.691 Å³ per atom

a = 4.8922 Å, b = 4.8922 Å, c = 13.7161 Å
α = 90.00°, β = 90.00°, γ = 120.00°
Space group P6_3/mmc (No. 194)
Unique sites:
Ac 0.0000 0.0000 0.2500 x2
Cd 0.3333 0.6667 0.0766 x4
Au 0.0000 0.0000 0.0000 x2
Au 0.3333 0.6667 0.6351 x4

Which one is most stable, and which one is least stable? Q is the most stable of them, while P is the least stable.

P | VASP calculation (GGA-PBE) on a geometry-optimized Ac4CdAu structure.

Computed properties:
density of states at the Fermi level: 1.265 states/eV per atom
total moment: 0.00 Bohr magnetons per cell
V: 36.577 Å³ per atom

a = 3.969 Å, b = 3.969 Å, c = 13.930 Å
α = 90.00°, β = 90.00°, γ = 90.00°
Space group P4/mmm (No. 123)
Unique sites:
Ac 0.000 0.000 0.136 x2
Ac 0.500 0.500 0.349 x2
Cd 0.000 0.000 0.500 x1
Au 0.500 0.500 0.000 x1

Q | VASP calculation (GGA-PBE) on a geometry-optimized Ac4CdAu structure.

Computed properties:
density of states at the Fermi level: 1.418 states/eV per atom
total moment: 0.00 Bohr magnetons per cell
V: 41.142 Å³ per atom

a = 7.869 Å, b = 8.223 Å, c = 7.678 Å
α = 90.00°, β = 96.37°, γ = 90.00°
Space group P2_1/c (No. 14)
Unique sites:
Ac 0.156 0.164 0.180 x4
Ac 0.342 0.653 0.111 x4
Cd 0.500 0.000 0.000 x2
Au 0.000 0.000 0.500 x2

Which one is most stable, and which one is least stable? P is the most stable of them, while Q is the least stable.

P | VASP calculation (GGA-PBE) on a geometry-optimized Ac2CdAu3 structure.

Computed properties:
density of states at the Fermi level: 0.563 states/eV per atom
total moment: 0.00 Bohr magnetons per cell
V: 27.335 Å³ per atom

a = 7.950 Å, b = 9.844 Å, c = 16.765 Å
α = 90.00°, β = 90.00°, γ = 90.00°
Space group Fmmm (No. 69)
Unique sites:
Ac 0.243 0.000 0.000 x8
Ac 0.250 0.250 0.250 x8
Cd 0.000 0.000 0.333 x8
Au 0.000 0.000 0.167 x8
Au 0.000 0.247 0.416 x16

Q | VASP calculation (GGA-PBE) on a geometry-optimized Ac2CdAu3 structure.

Computed properties:
density of states at the Fermi level: 0.340 states/eV per atom
total moment: 0.00 Bohr magnetons per cell
V: 28.478 Å³ per atom

a = 4.294 Å, b = 4.339 Å, c = 18.343 Å
α = 90.00°, β = 90.00°, γ = 90.00°
Space group Imm2 (No. 44)
Unique sites:
Ac 0.000 0.000 0.000 x2
Ac 0.000 0.500 0.229 x2
Cd 0.000 0.000 0.401 x2
Au 0.000 0.000 0.557 x2
Au 0.000 0.500 0.654 x2
Au 0.000 0.500 0.807 x2

Which one is most stable, and which one is least stable? P is the most stable of them, while Q is the least stable.